No. 1
# MnNbFe2Pb | Alexandria via LeMat-Bulk | GGA-PBE | optimized geometry
# symmetry	P4/mmm, No. 123
# calculated formation energy	6.174	eV/f.u.
# final energy	-33.70	eV for the cell shown
data_MnNbFe2Pb
_space_group_name_H-M_alt 'P 1'
_space_group_IT_number 1
_cell_length_a 4.626
_cell_length_b 4.780
_cell_length_c 4.626
_cell_angle_alpha 90.00
_cell_angle_beta 90.00
_cell_angle_gamma 90.00
loop_
_space_group_symop_operation_xyz
'x,y,z'
loop_
_atom_site_label
_atom_site_fract_x
_atom_site_fract_y
_atom_site_fract_z
Pb1 0.500 0.500 0.500
Nb1 0.000 0.000 0.000
Fe1 0.000 0.000 0.500
Fe2 0.500 0.000 0.000
Mn1 0.000 0.500 0.000

No. 2
# Mn2NbFePb | Alexandria via LeMat-Bulk | GGA-PBE | optimized geometry
# symmetry	P4/mmm, No. 123
# calculated formation energy	13.853	eV/f.u.
# final energy	-26.73	eV for the cell shown
data_Mn2NbFePb
_space_group_name_H-M_alt 'P 1'
_space_group_IT_number 1
_cell_length_a 4.680
_cell_length_b 5.148
_cell_length_c 4.680
_cell_angle_alpha 90.00
_cell_angle_beta 90.00
_cell_angle_gamma 90.00
loop_
_space_group_symop_operation_xyz
'x,y,z'
loop_
_atom_site_label
_atom_site_fract_x
_atom_site_fract_y
_atom_site_fract_z
Pb1 0.000 0.000 0.000
Mn1 0.500 0.000 0.000
Mn2 0.000 0.000 0.500
Nb1 0.000 0.500 0.000
Fe1 0.500 0.500 0.500